Record 1
Computed, not measured: Pm3Hf2UN6 after structural relaxation at the PBE-GGA level of DFT.

## Properties
Formation energy without anion corrections   -1.6033 eV/atom
Size of the total moment   0.0000 μB/atom
Mass density   10.8 g/cm3

Cell lengths 5.869, 5.869, 6.046 Å; angles 99.25, 99.25, 120.04 degrees
Fractional coordinates of all 12 atoms:
Pm  0.832  0.168  0.500
Pm  0.168  0.832  0.500
Pm  0.500  0.500  0.500
N  0.402  0.069  0.209
N  0.598  0.931  0.791
N  0.069  0.402  0.209
N  0.264  0.264  0.794
N  0.736  0.736  0.206
N  0.931  0.598  0.791
Hf  0.667  0.333  0.000
Hf  0.333  0.667  0.000
U  0.000  0.000  0.000

Record 2
Computed, not measured: RePd2C after structural relaxation at the PBE-GGA level of DFT.

## Properties
Size of the total moment   0.0000 μB/atom
Formation energy   3.5 eV/f.u.
Mass density   12.0 g/cm3

Cell lengths 7.335, 7.335, 5.601 Å; angles 49.09, 49.09, 90.00 degrees
Fractional coordinates of all 8 atoms:
Pd  0.509  0.125  0.250
Pd  0.375  0.491  0.750
Pd  0.241  0.625  0.250
Pd  0.875  0.759  0.750
Re  0.000  0.000  0.000
Re  0.750  0.250  0.500
C  0.250  0.750  0.500
C  0.500  0.500  0.000

Record 3
Computed, not measured: CaHf2Al2 after structural relaxation at the PBE-GGA level of DFT.

## Properties
Energy above the most stable polymorph in this dataset   0.0172 eV per atom
Size of the total moment   0.0000 μB/atom
Formation energy   -0.5 eV/f.u.
Mass density   6.8 g/cm3

Cell lengths 8.125, 8.125, 3.318 Å; angles 90.00, 90.00, 90.00 degrees
Fractional coordinates of all 10 atoms:
Al  0.379  0.879  0.000
Al  0.121  0.379  0.000
Al  0.879  0.621  0.000
Al  0.621  0.121  0.000
Ca  0.500  0.500  0.000
Ca  0.000  0.000  0.000
Hf  0.327  0.173  0.500
Hf  0.827  0.327  0.500
Hf  0.173  0.673  0.500
Hf  0.673  0.827  0.500

Record 4
Computed, not measured: PuInBiPb after structural relaxation at the PBE-GGA level of DFT.

## Properties
Energy above the most stable polymorph in this dataset   0.0000 eV per atom
Size of the total moment   1.3982 μB/atom
Formation energy   -0.9 eV/f.u.
Mass density   11.5 g/cm3

Cell lengths 4.616, 4.831, 5.018 Å; angles 90.00, 90.00, 90.00 degrees
Site moments in Bohr magnetons follow the coordinates.
Fractional coordinates of all 4 atoms:
In  0.000  0.000  0.000  0.00
Bi  0.500  0.000  0.500  -0.08
Pu  0.000  0.500  0.500  5.42
Pb  0.500  0.500  0.000  0.00

Record 5
Computed, not measured: TaSbBr2 after structural relaxation at the PBE-GGA level of DFT.

## Properties
Formation energy without anion corrections   0.8423 eV/atom
Energy above the most stable polymorph in this dataset   1.1662 eV per atom
Size of the total moment   0.2100 μB/atom
Mass density   8.6 g/cm3

Cell lengths 5.176, 5.176, 3.338 Å; angles 90.00, 90.00, 90.00 degrees
Site moments in Bohr magnetons follow the coordinates.
Fractional coordinates of all 4 atoms:
Br  0.000  0.000  0.000  0.01
Br  0.500  0.500  0.000  0.01
Ta  0.000  0.500  0.500  0.59
Sb  0.500  0.000  0.500  -0.03

Record 6
Computed, not measured: ScRe3N after structural relaxation at the PBE-GGA level of DFT.

## Properties
Formation energy without anion corrections   3.7509 eV/atom
Energy above the most stable polymorph in this dataset   3.6682 eV per atom
Size of the total moment   0.1815 μB/atom
Mass density   10.5 g/cm3

Cell lengths 4.610, 4.610, 4.610 Å; angles 90.00, 90.00, 90.00 degrees
Site moments in Bohr magnetons follow the coordinates.
Fractional coordinates of all 5 atoms:
Re  0.500  0.000  0.000  -0.64
Re  0.000  0.500  0.000  -0.53
Re  0.000  0.000  0.500  -0.46
Sc  0.000  0.000  0.000  0.03
N  0.500  0.500  0.500  0.71

Record 7
Computed, not measured: Zn3GaNi after structural relaxation at the PBE-GGA level of DFT.

## Properties
Energy above the most stable polymorph in this dataset   0.0011 eV per atom
Size of the total moment   0.0000 μB/atom
Formation energy   -0.1 eV/f.u.
Mass density   6.5 g/cm3

Cell lengths 6.201, 6.201, 5.861 Å; angles 106.12, 115.42, 109.38 degrees
Fractional coordinates of all 10 atoms:
Zn  0.307  0.556  0.863
Zn  0.778  0.557  0.689
Zn  0.868  0.089  0.311
Zn  0.222  0.443  0.311
Zn  0.693  0.444  0.137
Zn  0.132  0.911  0.689
Ga  0.703  0.089  0.793
Ga  0.297  0.911  0.207
Ni  0.370  0.233  0.603
Ni  0.630  0.767  0.397

Record 8
Computed, not measured: K3Ho3US8 after structural relaxation at the PBE-GGA level of DFT.

## Properties
Formation energy without anion corrections   -1.7874 eV/atom
Size of the total moment   0.1333 μB/atom
Mass density   4.4 g/cm3

Cell lengths 8.025, 8.023, 8.797 Å; angles 117.14, 90.00, 120.01 degrees
Site moments in Bohr magnetons follow the coordinates.
Fractional coordinates of all 15 atoms:
S  0.264  0.035  0.305  -0.03
S  0.230  0.965  0.695  -0.03
S  0.736  0.965  0.695  -0.03
S  0.733  0.466  0.699  0.00
S  0.230  0.459  0.695  -0.03
S  0.770  0.541  0.305  -0.03
S  0.770  0.035  0.305  -0.03
S  0.267  0.534  0.301  0.00
U  0.000  0.000  0.500  1.99
Ho  0.500  0.500  0.500  0.02
Ho  0.500  0.000  0.500  0.02
Ho  0.000  0.500  0.500  0.02
K  0.000  0.500  0.000  0.00
K  0.000  0.000  0.000  0.00
K  0.500  0.500  0.000  0.00

Record 9
Computed, not measured: TbSiS3 after structural relaxation at the PBE-GGA level of DFT.

## Properties
Formation energy without anion corrections   -1.3109 eV/atom
Energy above the most stable polymorph in this dataset   0.0000 eV per atom
Size of the total moment   0.0000 μB/atom
Mass density   4.4 g/cm3

Cell lengths 6.531, 7.254, 9.129 Å; angles 90.00, 92.97, 90.00 degrees
Fractional coordinates of all 20 atoms:
S  0.155  0.688  0.938
S  0.859  0.323  0.426
S  0.141  0.677  0.574
S  0.359  0.177  0.926
S  0.150  0.978  0.231
S  0.641  0.823  0.074
S  0.845  0.312  0.062
S  0.850  0.022  0.769
S  0.655  0.812  0.438
S  0.345  0.188  0.562
S  0.650  0.522  0.731
S  0.350  0.478  0.269
Tb  0.541  0.127  0.252
Tb  0.459  0.873  0.748
Tb  0.041  0.373  0.752
Tb  0.959  0.627  0.248
Si  0.419  0.605  0.068
Si  0.919  0.895  0.568
Si  0.081  0.105  0.432
Si  0.581  0.395  0.932

Record 10
Computed, not measured: Pm2TiCd after structural relaxation at the PBE-GGA level of DFT.

## Properties
Energy above the most stable polymorph in this dataset   0.0298 eV per atom
Size of the total moment   0.6012 μB/atom
Formation energy   0.2 eV/f.u.
Mass density   6.9 g/cm3

Cell lengths 3.867, 5.283, 5.283 Å; angles 90.00, 90.00, 90.00 degrees
Site moments in Bohr magnetons follow the coordinates.
Fractional coordinates of all 4 atoms:
Pm  0.000  0.000  0.500  0.18
Pm  0.000  0.500  0.000  0.18
Cd  0.500  0.500  0.500  -0.01
Ti  0.500  0.000  0.000  1.42

Record 11
Computed, not measured: PrTmPu after structural relaxation at the PBE-GGA level of DFT.

## Properties
Energy above the most stable polymorph in this dataset   0.0000 eV per atom
Size of the total moment   2.0456 μB/atom
Formation energy   0.4 eV/f.u.
Mass density   9.8 g/cm3

Cell lengths 3.543, 3.543, 7.862 Å; angles 103.02, 103.02, 90.00 degrees
Site moments in Bohr magnetons follow the coordinates.
Fractional coordinates of all 3 atoms:
Tm  0.672  0.672  0.343  0.08
Pr  0.998  0.998  0.996  -0.03
Pu  0.330  0.330  0.661  5.62

Record 12
Computed, not measured: LiScHgPd after structural relaxation at the PBE-GGA level of DFT.

## Properties
Size of the total moment   0.0000 μB/atom
Formation energy   -2.3 eV/f.u.
Mass density   8.3 g/cm3

Cell lengths 3.360, 3.360, 6.363 Å; angles 90.00, 90.00, 90.00 degrees
Fractional coordinates of all 4 atoms:
Pd  0.500  0.500  0.604
Sc  0.000  0.000  0.829
Li  0.000  0.000  0.363
Hg  0.500  0.500  0.132

no.,VASP energy (eV per atom)
1,-9.5532
2,-7.1278
3,-5.9805
4,-6.3880
5,-3.9878
6,-6.6493
7,-2.5382
8,-5.8763
9,-5.7980
10,-4.5325
11,-7.7337
12,-4.0026